Computed, not measured: a geometry-optimized MgMnCdF6 structure at the PBE with a Hubbard U level of DFT.

E: -5.129 eV/atom
DOS(E_F): 0.00 states/eV/cell

a = 5.4874 Å, b = 5.4874 Å, c = 9.1643 Å
α = 90.00°, β = 90.00°, γ = 120.00°
Sites, in units of the cell vectors:
Mg  0.3333  0.6667  0.2500
Mg  0.6667  0.3333  0.7500
Mn  0.0000  0.0000  0.0000
Mn  0.0000  0.0000  0.5000
Cd  0.3333  0.6667  0.7500
Cd  0.6667  0.3333  0.2500
F  0.0346  0.3494  0.1290
F  0.0346  0.6852  0.3710
F  0.3148  0.3494  0.3710
F  0.3148  0.9654  0.1290
F  0.3494  0.0346  0.6290
F  0.3494  0.3148  0.8710
F  0.6506  0.6852  0.1290
F  0.6506  0.9654  0.3710
F  0.6852  0.0346  0.8710
F  0.6852  0.6506  0.6290
F  0.9654  0.3148  0.6290
F  0.9654  0.6506  0.8710